This record from Alexandria via LeMat-Bulk describes SiAgBr3 after structural relaxation. The functional is GGA-PBE.

Output
- density of states at the Fermi level (states/eV/f.u.) = 0.529
- energy relative to the elements, uncorrected (eV per atom) = -0.0475
- V (Å³/f.u.) = 143
- total DFT energy (no corrections) (eV/cell) = -13.5
- relative energy among the computed polymorphs (meV per atom) = 0

```
5
Lattice="5.233 0.000 0.000 0.000 5.233 0.000 0.000 0.000 5.233" Properties=species:S:1:pos:R:3 pbc="T T T"
Si 0.000 0.000 0.000
Ag 2.616 2.616 2.616
Br 0.000 0.000 2.616
Br 0.000 2.616 0.000
Br 2.616 0.000 0.000
```

This record from Alexandria via LeMat-Bulk describes CaCrTc2 after structural relaxation. The functional is GGA-PBE.

Output
- density of states at the Fermi level (states/eV/f.u.) = 3.940
- V (Å³/f.u.) = 70
- total DFT energy (no corrections) (eV/cell) = -62.2
- calculated formation energy (eV/atom) = 0.31
- relative energy among the computed polymorphs (meV per atom) = 87

```
8
Lattice="4.525 0.000 0.000 2.146 4.849 0.000 0.049 0.489 6.397" Properties=species:S:1:pos:R:3 pbc="T T T"
Ca 1.115 0.852 0.796
Ca 5.605 4.485 5.602
Cr 3.287 4.230 3.467
Cr 3.433 1.107 2.931
Tc 1.178 1.760 4.020
Tc 3.331 2.707 1.250
Tc 3.388 2.630 5.147
Tc 5.541 3.577 2.378
```

This record from Alexandria via LeMat-Bulk describes NaHf2As2 after structural relaxation. The functional is GGA-PBE.

Output
- density of states at the Fermi level (states/eV/f.u.) = 3.356
- V (Å³/f.u.) = 99
- total DFT energy (no corrections) (eV/cell) = -67.0
- calculated formation energy (eV/atom) = -0.59
- relative energy among the computed polymorphs (meV per atom) = 0

```
10
Lattice="7.495 0.000 0.000 0.000 7.495 0.000 0.000 0.000 3.529" Properties=species:S:1:pos:R:3 pbc="T T T"
Na 0.000 0.000 0.000
Na 3.748 3.748 0.000
Hf 1.088 2.660 1.764
Hf 2.660 6.408 1.764
Hf 4.835 1.088 1.764
Hf 6.408 4.835 1.764
As 1.107 4.855 0.000
As 2.640 1.107 0.000
As 4.855 6.388 0.000
As 6.388 2.640 0.000
```